Material: NaAlGa6
Method: DFT, PBE
State: relaxed

Geometry as CIF:
```
data_NaAlGa6
_chemical_formula_sum 'Na1 Al1 Ga6'
_symmetry_space_group_name_H-M 'P 1'
_symmetry_Int_Tables_number 1
_cell_length_a 9.1076
_cell_length_b 9.1076
_cell_length_c 9.1076
_cell_angle_alpha 29.64
_cell_angle_beta 29.64
_cell_angle_gamma 29.64
loop_
_symmetry_equiv_pos_as_xyz
'x,y,z'
loop_
_atom_site_label
_atom_site_type_symbol
_atom_site_fract_x
_atom_site_fract_y
_atom_site_fract_z
_atom_site_occupancy
Na1 Na 0.0000 0.0000 0.0000 1
Al1 Al 0.5000 0.5000 0.5000 1
Ga1 Ga 0.1328 0.1328 0.1328 1
Ga2 Ga 0.2469 0.2469 0.2469 1
Ga3 Ga 0.3994 0.3994 0.3994 1
Ga4 Ga 0.6006 0.6006 0.6006 1
Ga5 Ga 0.7531 0.7531 0.7531 1
Ga6 Ga 0.8672 0.8672 0.8672 1
```

Computed properties:
formation enthalpy at 0 K = -0.01 eV/atom
E above lowest polymorph = 0.00 kJ/mol of atoms
total moment = 0.00 Bohr magnetons per cell
DOS at the Fermi energy = 0.212 states/eV/atom
VASP energy = -2.91 eV per atom
SG = R-3m, No. 166